The following is a PBE calculation of an optimized crystal structure of Zn2FeIr, from Alexandria.

calculated density	11488	kg/m3
E	-5.02	eV/atom
energy of formation	-1.23	kcal/mol of atoms

CIF file:
```
data_Zn2FeIr
_space_group_name_H-M_alt 'P 1'
_space_group_IT_number 1
_cell_length_a 2.951
_cell_length_b 4.316
_cell_length_c 4.301
_cell_angle_alpha 90.00
_cell_angle_beta 90.00
_cell_angle_gamma 90.00
loop_
_space_group_symop_operation_xyz
'x,y,z'
loop_
_atom_site_label
_atom_site_type_symbol
_atom_site_fract_x
_atom_site_fract_y
_atom_site_fract_z
_atom_site_occupancy
Fe1 Fe 0.500 0.000 0.500 1
Ir1 Ir 0.000 0.500 0.500 1
Zn1 Zn 0.000 0.000 0.000 1
Zn2 Zn 0.500 0.500 0.000 1
```

The following is a PBE calculation of an optimized crystal structure of Tb6PmIn2, from Alexandria.

calculated density	8367	kg/m3
E	-4.42	eV/atom
energy of formation	-4.49	kcal/mol of atoms

CIF file:
```
data_Tb6PmIn2
_space_group_name_H-M_alt 'P 1'
_space_group_IT_number 1
_cell_length_a 4.792
_cell_length_b 6.022
_cell_length_c 10.463
_cell_angle_alpha 73.78
_cell_angle_beta 76.76
_cell_angle_gamma 66.55
loop_
_space_group_symop_operation_xyz
'x,y,z'
loop_
_atom_site_label
_atom_site_type_symbol
_atom_site_fract_x
_atom_site_fract_y
_atom_site_fract_z
_atom_site_occupancy
Tb1 Tb 0.006 0.660 0.327 1
Tb2 Tb 0.672 0.543 0.112 1
Tb3 Tb 0.329 0.787 0.554 1
In1 In 0.337 0.107 0.220 1
Tb4 Tb 0.994 0.340 0.673 1
Tb5 Tb 0.328 0.457 0.888 1
In2 In 0.663 0.893 0.780 1
Tb6 Tb 0.671 0.213 0.446 1
Pm1 Pm 0.000 0.000 0.000 1
```

The following is a PBE calculation of an optimized crystal structure of Ba2MgPd, from Alexandria.

calculated density	4107	kg/m3
E	-3.01	eV/atom
energy of formation	-8.16	kcal/mol of atoms

CIF file:
```
data_Ba2MgPd
_space_group_name_H-M_alt 'P 1'
_space_group_IT_number 1
_cell_length_a 4.695
_cell_length_b 4.695
_cell_length_c 9.017
_cell_angle_alpha 74.87
_cell_angle_beta 74.87
_cell_angle_gamma 59.89
loop_
_space_group_symop_operation_xyz
'x,y,z'
loop_
_atom_site_label
_atom_site_type_symbol
_atom_site_fract_x
_atom_site_fract_y
_atom_site_fract_z
_atom_site_occupancy
Mg1 Mg 0.792 0.792 0.624 1
Pd1 Pd 0.458 0.458 0.627 1
Ba1 Ba 0.036 0.036 0.890 1
Ba2 Ba 0.213 0.213 0.359 1
```